Model P:
The following is a GGA-PBE calculation of a geometry-optimized Ho3TmSe4 structure, from the Alexandria database.

Lattice parameters (Å, degrees): 5.722 5.722 5.722 90.00 90.00 90.00
Sites, in units of the cell vectors:
Ho 0.000 0.000 0.500
Ho 0.000 0.500 0.000
Ho 0.500 0.000 0.000
Tm 0.500 0.500 0.500
Se 0.000 0.000 0.000
Se 0.000 0.500 0.500
Se 0.500 0.000 0.500
Se 0.500 0.500 0.000

Results
- spin magnetization (μB per formula unit) = 0.00
- space-group type = Pm-3m, No. 221

***

Model Q:
The following is a GGA-PBE calculation of a geometry-optimized Ho3TmSe4 structure, from the Alexandria database.

Lattice parameters (Å, degrees): 7.043 8.000 7.032 90.00 109.20 90.00
Sites, in units of the cell vectors:
Ho 0.000 0.124 0.250
Ho 0.000 0.374 0.750
Ho 0.000 0.626 0.250
Ho 0.000 0.876 0.750
Ho 0.500 0.124 0.750
Ho 0.500 0.876 0.250
Tm 0.500 0.374 0.250
Tm 0.500 0.626 0.750
Se 0.251 0.126 0.001
Se 0.251 0.874 0.501
Se 0.253 0.376 0.500
Se 0.253 0.624 0.000
Se 0.747 0.376 0.000
Se 0.747 0.624 0.500
Se 0.749 0.126 0.499
Se 0.749 0.874 0.999

Results
- spin magnetization (μB per formula unit) = 0.00
- space-group type = P2/c, No. 13

***

Which structure loses on stability? model P does.

***

Model P:
The following is a GGA-PBE calculation of a geometry-optimized HoTm3Se6 structure, from the Alexandria database.

Lattice parameters (Å, degrees): 8.310 8.310 8.310 90.86 90.86 90.86
Sites, in units of the cell vectors:
Ho 0.000 0.000 0.000
Ho 0.500 0.500 0.500
Tm 0.070 0.745 0.580
Tm 0.255 0.420 0.930
Tm 0.420 0.930 0.255
Tm 0.580 0.070 0.745
Tm 0.745 0.580 0.070
Tm 0.930 0.255 0.420
Se 0.037 0.678 0.906
Se 0.094 0.963 0.322
Se 0.183 0.414 0.590
Se 0.322 0.094 0.963
Se 0.410 0.817 0.586
Se 0.414 0.590 0.183
Se 0.586 0.410 0.817
Se 0.590 0.183 0.414
Se 0.678 0.906 0.037
Se 0.817 0.586 0.410
Se 0.906 0.037 0.678
Se 0.963 0.322 0.094

Results
- spin magnetization (μB per formula unit) = 0.00
- space-group type = R-3, No. 148

***

Model Q:
The following is a GGA-PBE calculation of a geometry-optimized HoTm3Se6 structure, from the Alexandria database.

Lattice parameters (Å, degrees): 7.631 7.631 7.631 55.58 55.58 55.58
Sites, in units of the cell vectors:
Ho 0.000 0.000 0.000
Tm 0.305 0.305 0.305
Tm 0.499 0.499 0.499
Tm 0.806 0.806 0.806
Se 0.095 0.406 0.706
Se 0.209 0.903 0.594
Se 0.406 0.706 0.095
Se 0.594 0.209 0.903
Se 0.706 0.095 0.406
Se 0.903 0.594 0.209

Results
- spin magnetization (μB per formula unit) = 0.00
- space-group type = R3, No. 146

***

Which structure loses on stability? model P does.

***

Model P:
The following is a GGA-PBE calculation of a geometry-optimized Ho3TmSe6 structure, from the Alexandria database.

Lattice parameters (Å, degrees): 7.661 7.661 7.661 55.64 55.64 55.64
Sites, in units of the cell vectors:
Ho 0.000 0.000 0.000
Ho 0.195 0.195 0.195
Ho 0.499 0.499 0.499
Tm 0.694 0.694 0.694
Se 0.094 0.406 0.793
Se 0.294 0.903 0.597
Se 0.406 0.793 0.094
Se 0.597 0.294 0.903
Se 0.793 0.094 0.406
Se 0.903 0.597 0.294

Results
- spin magnetization (μB per formula unit) = 0.00
- space-group type = R3, No. 146

***

Model Q:
The following is a GGA-PBE calculation of a geometry-optimized Ho3TmSe6 structure, from the Alexandria database.

Lattice parameters (Å, degrees): 8.341 8.341 8.341 90.91 90.91 90.91
Sites, in units of the cell vectors:
Ho 0.071 0.580 0.746
Ho 0.254 0.929 0.420
Ho 0.420 0.254 0.929
Ho 0.580 0.746 0.071
Ho 0.746 0.071 0.580
Ho 0.929 0.420 0.254
Tm 0.000 0.000 0.000
Tm 0.500 0.500 0.500
Se 0.038 0.908 0.681
Se 0.092 0.319 0.962
Se 0.186 0.588 0.415
Se 0.319 0.962 0.092
Se 0.412 0.585 0.814
Se 0.415 0.186 0.588
Se 0.585 0.814 0.412
Se 0.588 0.415 0.186
Se 0.681 0.038 0.908
Se 0.814 0.412 0.585
Se 0.908 0.681 0.038
Se 0.962 0.092 0.319

Results
- spin magnetization (μB per formula unit) = 0.00
- space-group type = R-3, No. 148

***

Which structure loses on stability? model Q does.

***

Model P:
The following is a GGA-PBE calculation of a geometry-optimized HoU2Se6 structure, from the Alexandria database.

Lattice parameters (Å, degrees): 7.508 7.508 9.161 124.60 124.60 42.29
Sites, in units of the cell vectors:
Ho 0.000 0.000 0.000
U 0.184 0.184 0.608
U 0.816 0.816 0.392
Se 0.043 0.043 0.729
Se 0.258 0.258 0.373
Se 0.374 0.374 0.958
Se 0.626 0.626 0.042
Se 0.742 0.742 0.627
Se 0.957 0.957 0.271

Results
- spin magnetization (μB per formula unit) = 3.00
- space-group type = C2/m, No. 12

***

Model Q:
The following is a GGA-PBE calculation of a geometry-optimized HoU2Se6 structure, from the Alexandria database.

Lattice parameters (Å, degrees): 9.271 9.271 8.393 103.94 103.94 25.85
Sites, in units of the cell vectors:
Ho 0.000 0.000 0.000
U 0.335 0.335 0.676
U 0.665 0.665 0.324
Se 0.164 0.164 0.100
Se 0.174 0.174 0.558
Se 0.490 0.490 0.761
Se 0.510 0.510 0.239
Se 0.826 0.826 0.442
Se 0.836 0.836 0.900

Results
- spin magnetization (μB per formula unit) = 3.00
- space-group type = C2/m, No. 12

***

Which structure loses on stability? model P does.

***

Model P:
The following is a GGA-PBE calculation of a geometry-optimized HoUSe2 structure, from the Alexandria database.

Lattice parameters (Å, degrees): 3.879 3.879 22.069 90.00 90.00 120.00
Sites, in units of the cell vectors:
Ho 0.000 0.000 0.000
Ho 0.333 0.667 0.667
Ho 0.667 0.333 0.333
U 0.000 0.000 0.174
U 0.333 0.667 0.840
U 0.667 0.333 0.507
Se 0.000 0.000 0.417
Se 0.000 0.000 0.590
Se 0.333 0.667 0.084
Se 0.333 0.667 0.257
Se 0.667 0.333 0.750
Se 0.667 0.333 0.924

Results
- spin magnetization (μB per formula unit) = 3.27
- space-group type = R3m, No. 160

***

Model Q:
The following is a GGA-PBE calculation of a geometry-optimized HoUSe2 structure, from the Alexandria database.

Lattice parameters (Å, degrees): 3.963 3.963 20.842 90.00 90.00 120.00
Sites, in units of the cell vectors:
Ho 0.000 0.000 0.000
Ho 0.333 0.667 0.667
Ho 0.667 0.333 0.333
U 0.000 0.000 0.500
U 0.333 0.667 0.167
U 0.667 0.333 0.833
Se 0.000 0.000 0.252
Se 0.000 0.000 0.748
Se 0.333 0.667 0.414
Se 0.333 0.667 0.919
Se 0.667 0.333 0.081
Se 0.667 0.333 0.586

Results
- spin magnetization (μB per formula unit) = 2.91
- space-group type = R-3m, No. 166

***

Which structure loses on stability? model P does.

***

Model P:
The following is a GGA-PBE calculation of a geometry-optimized YHoSe structure, from the Alexandria database.

Lattice parameters (Å, degrees): 3.587 3.587 12.251 90.00 90.00 90.00
Sites, in units of the cell vectors:
Y 0.000 0.000 0.000
Y 0.500 0.500 0.500
Ho 0.000 0.000 0.291
Ho 0.500 0.500 0.791
Se 0.000 0.000 0.647
Se 0.500 0.500 0.147

Results
- spin magnetization (μB per formula unit) = 0.00
- space-group type = I4mm, No. 107

***

Model Q:
The following is a GGA-PBE calculation of a geometry-optimized YHoSe structure, from the Alexandria database.

Lattice parameters (Å, degrees): 3.874 3.874 19.202 90.00 90.00 120.00
Sites, in units of the cell vectors:
Y 0.000 0.000 0.000
Y 0.333 0.667 0.667
Y 0.667 0.333 0.333
Ho 0.000 0.000 0.484
Ho 0.333 0.667 0.151
Ho 0.667 0.333 0.817
Se 0.000 0.000 0.241
Se 0.333 0.667 0.908
Se 0.667 0.333 0.575

Results
- spin magnetization (μB per formula unit) = 0.00
- space-group type = R3m, No. 160

***

Which structure loses on stability? model P does.

***

Model P:
The following is a GGA-PBE calculation of a geometry-optimized YHo3Se6 structure, from the Alexandria database.

Lattice parameters (Å, degrees): 8.373 8.373 8.373 90.87 90.87 90.87
Sites, in units of the cell vectors:
Y 0.000 0.000 0.000
Y 0.500 0.500 0.500
Ho 0.070 0.745 0.579
Ho 0.255 0.421 0.930
Ho 0.421 0.930 0.255
Ho 0.579 0.070 0.745
Ho 0.745 0.579 0.070
Ho 0.930 0.255 0.421
Se 0.037 0.679 0.906
Se 0.094 0.963 0.321
Se 0.183 0.414 0.591
Se 0.321 0.094 0.963
Se 0.409 0.817 0.586
Se 0.414 0.591 0.183
Se 0.586 0.409 0.817
Se 0.591 0.183 0.414
Se 0.679 0.906 0.037
Se 0.817 0.586 0.409
Se 0.906 0.037 0.679
Se 0.963 0.321 0.094

Results
- spin magnetization (μB per formula unit) = 0.00
- space-group type = R-3, No. 148

***

Model Q:
The following is a GGA-PBE calculation of a geometry-optimized YHo3Se6 structure, from the Alexandria database.

Lattice parameters (Å, degrees): 11.536 4.087 11.821 90.00 109.13 90.00
Sites, in units of the cell vectors:
Y 0.044 0.250 0.192
Y 0.956 0.750 0.808
Ho 0.159 0.250 0.583
Ho 0.317 0.750 0.998
Ho 0.432 0.250 0.332
Ho 0.568 0.750 0.668
Ho 0.683 0.250 0.002
Ho 0.841 0.750 0.417
Se 0.083 0.750 0.402
Se 0.112 0.250 0.965
Se 0.193 0.750 0.750
Se 0.254 0.750 0.223
Se 0.396 0.250 0.562
Se 0.480 0.250 0.115
Se 0.520 0.750 0.885
Se 0.604 0.750 0.438
Se 0.746 0.250 0.777
Se 0.807 0.250 0.250
Se 0.888 0.750 0.035
Se 0.917 0.250 0.598

Results
- spin magnetization (μB per formula unit) = 0.00
- space-group type = P2_1/m, No. 11

***

Which structure loses on stability? model P does.

***

Model P:
The following is a GGA-PBE calculation of a geometry-optimized Y3HoSe6 structure, from the Alexandria database.

Lattice parameters (Å, degrees): 8.394 8.394 8.394 90.87 90.87 90.87
Sites, in units of the cell vectors:
Y 0.070 0.745 0.579
Y 0.255 0.421 0.930
Y 0.421 0.930 0.255
Y 0.579 0.070 0.745
Y 0.745 0.579 0.070
Y 0.930 0.255 0.421
Ho 0.000 0.000 0.000
Ho 0.500 0.500 0.500
Se 0.038 0.681 0.908
Se 0.092 0.962 0.319
Se 0.185 0.415 0.589
Se 0.319 0.092 0.962
Se 0.411 0.815 0.585
Se 0.415 0.589 0.185
Se 0.585 0.411 0.815
Se 0.589 0.185 0.415
Se 0.681 0.908 0.038
Se 0.815 0.585 0.411
Se 0.908 0.038 0.681
Se 0.962 0.319 0.092

Results
- spin magnetization (μB per formula unit) = 0.00
- space-group type = R-3, No. 148

***

Model Q:
The following is a GGA-PBE calculation of a geometry-optimized Y3HoSe6 structure, from the Alexandria database.

Lattice parameters (Å, degrees): 11.571 4.095 11.856 90.00 109.13 90.00
Sites, in units of the cell vectors:
Y 0.069 0.250 0.168
Y 0.183 0.750 0.502
Y 0.341 0.250 0.918
Y 0.659 0.750 0.082
Y 0.817 0.250 0.498
Y 0.931 0.750 0.832
Ho 0.457 0.250 0.309
Ho 0.543 0.750 0.691
Se 0.020 0.250 0.384
Se 0.103 0.250 0.937
Se 0.249 0.750 0.278
Se 0.310 0.750 0.750
Se 0.391 0.250 0.535
Se 0.417 0.750 0.100
Se 0.583 0.250 0.900
Se 0.609 0.750 0.465
Se 0.690 0.250 0.250
Se 0.751 0.250 0.722
Se 0.897 0.750 0.063
Se 0.980 0.750 0.616

Results
- spin magnetization (μB per formula unit) = 0.00
- space-group type = P2_1/m, No. 11

***

Which structure loses on stability? model P does.